# FeIr2Se

A relaxed FeIr2Se crystal (PBE-GGA, the Alexandria database).

Cell: 8.817 2.856 4.754 Å, 90.00 99.68 90.00°
Space group C2/m (No. 12)
Symmetry-distinct sites (fractional):
Fe (0.000, 0.000, 0.000) [2 per cell]
Ir (0.244, 0.500, 0.239) [4 per cell]
Se (0.000, 0.500, 0.500) [2 per cell]

Output
- Formation energy from raw total energies: 1.1 eV per formula unit
- Total moment: 6.3 μB/cell
- Calculated total energy: -28.57 eV/f.u.

***

# TbPrTmZn

A relaxed TbPrTmZn crystal (PBE-GGA, the Alexandria database).

Cell: 7.625 7.625 7.625 Å, 90.00 90.00 90.00°
Space group F-43m (No. 216)
Symmetry-distinct sites (fractional):
Tb (0.000, 0.000, 0.000) [4 per cell]
Pr (0.000, 0.000, 0.500) [4 per cell]
Tm (0.250, 0.250, 0.250) [4 per cell]
Zn (0.250, 0.250, 0.750) [4 per cell]

Output
- Energy relative to the elements: 25 meV/atom
- Total moment: 0.0 μB/cell
- Calculated total energy: -15.06 eV/f.u.
- ΔE to the lowest computed polymorph: 188 meV/atom

***

# TlAs2S

A relaxed TlAs2S crystal (PBE-GGA, the Alexandria database).

Cell: 5.516 5.516 14.599 Å, 90.00 90.00 90.00°
Space group I-42d (No. 122)
Symmetry-distinct sites (fractional):
Tl (0.000, 0.000, 0.000) [4 per cell]
As (0.178, 0.250, 0.625) [8 per cell]
S (0.000, 0.000, 0.500) [4 per cell]

Output
- Formation energy from raw total energies: 1.3 eV per formula unit
- Total moment: 0.0 μB/cell
- Calculated total energy: -14.51 eV/f.u.
- ΔE to the lowest computed polymorph: 0 meV/atom

***

# Ta2HgTe

A relaxed Ta2HgTe crystal (PBE-GGA, the Alexandria database).

Cell: 3.260 3.260 7.387 Å, 90.00 90.00 90.00°
Space group P4/mmm (No. 123)
Symmetry-distinct sites (fractional):
Ta (0.000, 0.000, 0.236) [2 per cell]
Hg (0.500, 0.500, 0.500) [1 per cell]
Te (0.500, 0.500, 0.000) [1 per cell]

Output
- Formation energy from raw total energies: 1.4 eV per formula unit
- Total moment: 0.0 μB/cell
- Calculated total energy: -25.77 eV/f.u.
- ΔE to the lowest computed polymorph: 161 meV/atom

***

# Tb2Pa3Se8

A relaxed Tb2Pa3Se8 crystal (PBE-GGA, the Alexandria database).

Cell: 14.750 8.118 6.777 Å, 90.00 107.08 90.00°
Space group C2/m (No. 12)
Symmetry-distinct sites (fractional):
Tb (0.245, 0.000, 0.169) [4 per cell]
Pa (0.000, 0.259, 0.500) [4 per cell]
Pa (0.000, 0.500, 0.000) [2 per cell]
Se (0.108, 0.000, 0.397) [4 per cell]
Se (0.126, 0.257, 0.916) [8 per cell]
Se (0.130, 0.500, 0.417) [4 per cell]

Output
- Formation energy from raw total energies: -18.8 eV per formula unit
- Total moment: 9.7 μB/cell
- Calculated total energy: -84.41 eV/f.u.
- ΔE to the lowest computed polymorph: 49 meV/atom

***

# LaVCu2Pd

A relaxed LaVCu2Pd crystal (PBE-GGA, the Alexandria database).

Cell: 4.811 4.811 4.648 Å, 90.00 90.00 90.00°
Space group P4/mmm (No. 123)
Symmetry-distinct sites (fractional):
La (0.000, 0.000, 0.000) [1 per cell]
V (0.500, 0.500, 0.000) [1 per cell]
Cu (0.000, 0.500, 0.500) [2 per cell]
Pd (0.500, 0.500, 0.500) [1 per cell]

Output
- Energy relative to the elements: 323 meV/atom
- Total moment: 2.6 μB/cell
- Calculated total energy: -25.82 eV/f.u.